Model w:
An optimized crystal structure of Ca2TaCo. Source: the Alexandria database, functional PBE.

a = 3.0433 Å, b = 3.0433 Å, c = 9.3449 Å
α = 90.00°, β = 90.00°, γ = 90.00°
Closest atoms and distances in Å follow each position.
Space group P4/mmm (No. 123)
Unique sites:
1 Ca 0.0000 0.0000 0.2173 x2  4 Co 2.96, 4 Ca 3.04
2 Ta 0.5000 0.5000 0.5000 x1  4 Ta 3.04, 8 Ca 3.41
3 Co 0.5000 0.5000 0.0000 x1  8 Ca 2.96, 4 Co 3.04

Model x:
An optimized crystal structure of Ca2TaCo. Source: the Alexandria database, functional PBE.

a = 3.9731 Å, b = 3.9731 Å, c = 10.2462 Å
α = 90.00°, β = 90.00°, γ = 90.00°
Closest atoms and distances in Å follow each position.
Space group I4/mmm (No. 139)
Unique sites:
1 Ca 0.0000 0.5000 0.2500 x4  4 Ca 2.81
2 Ta 0.0000 0.0000 0.0000 x2  4 Co 2.81
3 Co 0.0000 0.0000 0.5000 x2  4 Ta 2.81

Model y:
An optimized crystal structure of Ca2TaCo. Source: the Alexandria database, functional PBE.

a = 3.2101 Å, b = 3.7721 Å, c = 17.1097 Å
α = 90.00°, β = 90.00°, γ = 90.00°
Closest atoms and distances in Å follow each position.
Space group Immm (No. 71)
Unique sites:
1 Ca 0.0000 0.0000 0.1538 x4  2 Co 3.08, 2 Ca 3.21, 2 Ta 3.24
2 Ta 0.0000 0.5000 0.0000 x2  4 Co 2.48
3 Co 0.0000 0.5000 0.5000 x2  4 Ta 2.48

Short version: model y is the most stable of them.

Model w:
An optimized crystal structure of CaTaCo. Source: the Alexandria database, functional PBE.

a = 3.2246 Å, b = 3.2246 Å, c = 11.7916 Å
α = 90.00°, β = 90.00°, γ = 90.00°
Closest atoms and distances in Å follow each position.
Space group I4mm (No. 107)
Unique sites:
1 Ca 0.0000 0.0000 0.0000 x2  4 Ca 3.22, 5 Co 3.25-3.59, 5 Ta 3.25-3.49
2 Ta 0.0000 0.0000 0.2755 x2  4 Co 2.47
3 Co 0.0000 0.0000 0.6958 x2  4 Ta 2.47

Model x:
An optimized crystal structure of CaTaCo. Source: the Alexandria database, functional PBE.

a = 6.2427 Å, b = 6.2427 Å, c = 6.2427 Å
α = 90.00°, β = 90.00°, γ = 90.00°
Closest atoms and distances in Å follow each position.
Space group F-43m (No. 216)
Unique sites:
1 Ca 0.0000 0.0000 0.0000 x4  4 Co 2.70
2 Ta 0.0000 0.0000 0.5000 x4  4 Co 2.70
3 Co 0.2500 0.2500 0.2500 x4  4 Ta 2.70, 4 Ca 2.70

Short version: model w is the most stable of them.

Model w:
An optimized crystal structure of CaTb3Co. Source: the Alexandria database, functional PBE.

a = 14.1741 Å, b = 3.6829 Å, c = 11.3491 Å
α = 90.00°, β = 94.26°, γ = 90.00°
Closest atoms and distances in Å follow each position.
Space group C2/m (No. 12)
Unique sites:
1 Ca 0.1593 0.0000 0.0945 x4  8 Tb 3.67-3.90, 4 Ca 3.68-3.93
2 Tb 0.0650 0.0000 0.3873 x4  4 Co 2.82-2.86
3 Tb 0.0691 0.5000 0.8221 x4  1 Co 2.75
4 Tb 0.2155 0.0000 0.6402 x4  2 Co 2.70
5 Co 0.0813 0.5000 0.5811 x4  7 Tb 2.70-2.86, 1 Co 2.84

Model x:
An optimized crystal structure of CaTb3Co. Source: the Alexandria database, functional PBE.

a = 5.3467 Å, b = 5.3467 Å, c = 5.3467 Å
α = 90.00°, β = 90.00°, γ = 90.00°
Closest atoms and distances in Å follow each position.
Space group Pm-3m (No. 221)
Unique sites:
1 Ca 0.0000 0.0000 0.0000 x1  12 Tb 3.78
2 Tb 0.0000 0.5000 0.5000 x3  2 Co 2.67
3 Co 0.5000 0.5000 0.5000 x1  6 Tb 2.67

Short version: model w is the most stable of them.

Model w:
An optimized crystal structure of CaTb2Co. Source: the Alexandria database, functional PBE.

a = 3.4255 Å, b = 3.4255 Å, c = 9.4720 Å
α = 90.00°, β = 90.00°, γ = 90.00°
Closest atoms and distances in Å follow each position.
Space group P4/mmm (No. 123)
Unique sites:
1 Ca 0.0000 0.0000 0.0000 x1  4 Ca 3.43
2 Tb 0.5000 0.5000 0.3305 x2  4 Co 2.91, 1 Tb 3.21
3 Co 0.0000 0.0000 0.5000 x1  8 Tb 2.91

Model x:
An optimized crystal structure of CaTb2Co. Source: the Alexandria database, functional PBE.

a = 3.9037 Å, b = 3.9037 Å, c = 27.7218 Å
α = 90.00°, β = 90.00°, γ = 120.00°
Closest atoms and distances in Å follow each position.
Space group R3m (No. 160, hexagonal axes)
Unique sites:
1 Ca 0.0000 0.0000 0.0000 x3  6 Tb 3.87-3.95, 6 Ca 3.90
2 Tb 0.0000 0.0000 0.5498 x3  3 Co 2.67
3 Tb 0.0000 0.0000 0.7801 x3  3 Co 2.67
4 Co 0.0000 0.0000 0.1649 x3  6 Tb 2.67

Short version: model x is the most stable of them.